Record 1
Compound: CdReTe2P
Source: Alexandria
Functional: PBE-GGA
Structure: optimized geometry

```
CdReTe2P
1.0
-0.649 4.531 -2.256
-0.587 -2.418 -4.688
-5.029 -0.324 0.797
P Re Cd Te
1 1 1 2
direct
0.500 0.500 0.500
0.000 0.000 0.000
0.000 0.500 0.000
0.500 0.000 0.000
0.000 0.000 0.500
```

Properties
crystal system = tetragonal
ΔE_f (raw) = 96.7 kJ/mol of atoms


Record 2
Compound: PmPa2ZnN4
Source: Alexandria
Functional: PBE-GGA
Structure: optimized geometry

```
PmPa2ZnN4
1.0
3.590 0.000 0.000
-1.795 5.814 0.000
0.000 0.000 11.509
N Pa Pm Zn
8 4 2 2
direct
0.733 0.467 0.610
0.733 0.467 0.890
0.564 0.128 0.250
0.000 0.000 0.500
0.267 0.533 0.390
0.436 0.872 0.750
0.000 0.000 0.000
0.267 0.533 0.110
0.372 0.744 0.553
0.372 0.744 0.947
0.628 0.256 0.447
0.628 0.256 0.053
0.095 0.190 0.750
0.905 0.810 0.250
0.831 0.661 0.750
0.169 0.339 0.250
```

Properties
crystal system = orthorhombic
ΔE_f (raw) = -107.3 kJ/mol of atoms


Record 3
Compound: Ba3PPd
Source: Alexandria
Functional: PBE-GGA
Structure: optimized geometry

```
Ba3PPd
1.0
8.904 0.000 1.604
0.000 8.532 0.000
-0.152 0.000 9.628
P Ba Pd
4 12 4
direct
0.271 0.941 0.081
0.729 0.059 0.919
0.771 0.559 0.081
0.229 0.441 0.919
0.403 0.128 0.798
0.097 0.628 0.202
0.288 0.495 0.575
0.008 0.802 0.872
0.788 0.005 0.575
0.492 0.302 0.128
0.992 0.198 0.128
0.597 0.872 0.202
0.712 0.505 0.425
0.903 0.372 0.798
0.212 0.995 0.425
0.508 0.698 0.872
0.483 0.831 0.552
0.017 0.331 0.448
0.517 0.169 0.448
0.983 0.669 0.552
```

Properties
crystal system = monoclinic
DFT formation energy = -0.69 eV/atom
distance to the lowest polymorph of the same formula = 0 meV/atom


Record 4
Compound: Si2BiOsRh
Source: Alexandria
Functional: PBE-GGA
Structure: optimized geometry

```
Si2BiOsRh
1.0
5.149 0.000 0.000
0.000 4.922 0.000
0.000 0.000 5.149
Os Bi Rh Si
1 1 1 2
direct
0.500 0.500 0.500
0.000 0.000 0.000
0.000 0.500 0.000
0.000 0.000 0.500
0.500 0.000 0.000
```

Properties
crystal system = tetragonal
ΔE_f (raw) = 228.2 kJ/mol of atoms


Record 5
Compound: ScCrPb2
Source: Alexandria
Functional: PBE-GGA
Structure: optimized geometry

```
ScCrPb2
1.0
9.290 -0.004 -0.002
8.637 3.423 -0.002
8.637 1.647 3.001
Pb Sc Cr
2 1 1
direct
0.005 0.005 0.005
0.495 0.495 0.495
0.250 0.250 0.250
0.750 0.750 0.750
```

Properties
crystal system = trigonal
DFT formation energy = 0.22 eV/atom
distance to the lowest polymorph of the same formula = 118 meV/atom


Record 6
Compound: ZrMn2NiC
Source: Alexandria
Functional: PBE-GGA
Structure: optimized geometry

```
ZrMn2NiC
1.0
-2.981 2.542 -0.128
-2.196 -2.470 2.107
1.271 1.655 3.264
Ni Zr Mn C
1 1 2 1
direct
0.000 0.000 0.500
0.500 0.500 0.500
0.000 0.500 0.000
0.500 0.000 0.000
0.000 0.000 0.000
```

Properties
crystal system = tetragonal
DFT formation energy = -0.17 eV/atom


Record 7
Compound: Mn2W
Source: Alexandria
Functional: PBE-GGA
Structure: optimized geometry

```
Mn2W
1.0
-5.410 -0.367 -1.564
-4.984 -1.854 1.890
4.859 2.805 0.609
Mn W
2 1
direct
0.647 0.647 0.000
0.020 0.020 0.000
0.333 0.333 0.000
```

Properties
crystal system = tetragonal
DFT formation energy = 0.14 eV/atom
distance to the lowest polymorph of the same formula = 218 meV/atom


Number 1: Fermi-level density of states 1.160 states/eV/atom, total moment 0.01 μB per formula unit. Number 2: Fermi-level density of states 0.810 states/eV/atom, total moment 0.00 μB per formula unit. Number 3: Fermi-level density of states 0.507 states/eV/atom, total moment 0.60 μB per formula unit. Number 4: Fermi-level density of states 1.165 states/eV/atom, total moment 2.77 μB per formula unit. Number 5: Fermi-level density of states 0.749 states/eV/atom, total moment 3.64 μB per formula unit. Number 6: Fermi-level density of states 0.441 states/eV/atom, total moment 2.12 μB per formula unit. Number 7: Fermi-level density of states 1.053 states/eV/atom, total moment 0.00 μB per formula unit.